[1]
Entry from the Alexandria database: an optimized crystal structure of Nd7Ho12In (PBE).

a b c (Å): 11.228 9.426 6.171
angles (deg): 89.94 100.28 83.12
Sites, in units of the cell vectors:
1 Ho 0.802 0.597 0.594
2 Ho 0.950 0.654 0.150
3 Ho 0.653 0.552 0.048
4 Ho 0.145 0.050 0.554
5 Ho 0.347 0.448 0.952
6 Ho 0.198 0.403 0.406
7 Ho 0.855 0.950 0.446
8 Ho 0.597 0.199 0.199
9 Ho 0.708 0.899 0.901
10 Ho 0.403 0.801 0.801
11 Ho 0.292 0.101 0.099
12 Ho 0.050 0.346 0.850
13 Nd 0.248 0.755 0.252
14 Nd 0.500 0.500 0.500
15 Nd 0.752 0.245 0.748
16 Nd 0.900 0.301 0.295
17 Nd 0.445 0.147 0.651
18 Nd 0.555 0.853 0.349
19 Nd 0.100 0.699 0.705
20 In 0.000 0.000 0.000

Calculated values
* symmetry: P-1 (2)
* energy relative to the elements: -0.017 eV/atom

[2]
Entry from the Alexandria database: an optimized crystal structure of Ca2Cd15Ag2 (PBE).

a b c (Å): 7.676 7.676 7.676
angles (deg): 82.10 82.10 82.10
Sites, in units of the cell vectors:
1 Cd 0.643 0.155 0.643
2 Cd 0.000 0.000 0.500
3 Cd 0.000 0.705 0.295
4 Cd 0.000 0.500 0.000
5 Cd 0.500 0.000 0.000
6 Cd 0.155 0.643 0.643
7 Cd 0.000 0.295 0.705
8 Cd 0.643 0.643 0.155
9 Cd 0.845 0.357 0.357
10 Cd 0.357 0.845 0.357
11 Cd 0.295 0.000 0.705
12 Cd 0.357 0.357 0.845
13 Cd 0.295 0.705 0.000
14 Cd 0.705 0.000 0.295
15 Cd 0.705 0.295 0.000
16 Ag 0.898 0.898 0.898
17 Ag 0.102 0.102 0.102
18 Ca 0.332 0.332 0.332
19 Ca 0.668 0.668 0.668

Calculated values
* symmetry: R-3m (166)
* energy relative to the elements: -0.115 eV/atom

[3]
Entry from the Alexandria database: an optimized crystal structure of Hf2AsCI (PBE).

a b c (Å): 5.293 4.032 5.293
angles (deg): 90.00 90.00 90.00
Sites, in units of the cell vectors:
1 Hf 0.500 0.000 0.000
2 Hf 0.000 0.000 0.500
3 As 0.500 0.500 0.500
4 C 0.000 0.500 0.000
5 I 0.000 0.000 0.000

Calculated values
* symmetry: P4/mmm (123)
* ΔE_f (raw): 8.35 eV/f.u.

[4]
Entry from the Alexandria database: an optimized crystal structure of Ti2SbTe (PBE).

a b c (Å): 3.773 3.773 7.426
angles (deg): 75.29 75.29 60.01
Sites, in units of the cell vectors:
1 Te 0.500 0.500 0.500
2 Sb 0.667 0.667 0.999
3 Ti 0.251 0.251 0.248
4 Ti 0.082 0.082 0.753

Calculated values
* symmetry: R3m (160)
* ΔE_f (raw): -1.64 eV/f.u.

Values for N(E_F), states/eV/f.u., ordered as above
28.37, 6.94, 2.93, 3.70
Values for total magnetic moment, μB per formula unit, ordered as above
0.0, 0.0, 0.0, 0.8